Record 1
Below is crystalline CrHgPb2 at its relaxed geometry, with properties calculated at the PBE level.

Computed properties:
Final energy ... -3.91 eV per atom
Magnetization ... 4.20 Bohr magnetons per cell

Unit cell a=5.289 b=5.289 c=5.289 alpha=60.00 beta=60.00 gamma=60.00
Fractional coordinates of all 4 atoms:
Hg 0.750 0.750 0.750
Pb 0.000 0.000 0.000
Pb 0.250 0.250 0.250
Cr 0.500 0.500 0.500

***

Record 2
Below is crystalline CrHgPb2 at its relaxed geometry, with properties calculated at the PBE level.

Computed properties:
Final energy ... -4.03 eV per atom
Magnetization ... 4.11 Bohr magnetons per cell

Unit cell a=3.411 b=3.411 c=8.690 alpha=90.00 beta=90.00 gamma=90.00
Fractional coordinates of all 4 atoms:
Cr 0.000 0.000 0.521
Pb 0.500 0.500 0.296
Pb 0.000 0.000 0.976
Hg 0.500 0.500 0.707

***

Q: What is the final energy in the second record?
A: -4.03 eV per atom

***

Q: Among the records above, which one has the highest magnetization?
A: number 1

***

Q: Look up the final energy of the first one.
A: -3.91 eV per atom

***

Q: final energy of number 2 (CrHgPb2)?
A: -4.03 eV per atom